Compound: TaHg2Cl
Source: the Alexandria database
Functional: PBE-GGA
Structure: relaxed

abc: 5.2854 3.0773 5.4486
angles: 90.00 109.87 90.00
Closest atoms and distances in Å follow each position.
Space group P2/m (No. 10)
One atom of each set of equivalent atoms:
Ta (0.0000, 0.0000, 0.0000) [1 per cell]  4 Cl 3.06, 2 Ta 3.08, 6 Hg 3.08-3.13
Hg (0.0000, 0.5000, 0.5000) [1 per cell]  6 Hg 3.06-3.08, 2 Cl 3.08, 4 Ta 3.13
Hg (0.5000, 0.0000, 0.5000) [1 per cell]  6 Hg 3.06-3.08, 2 Ta 3.08, 4 Cl 3.13
Cl (0.5000, 0.5000, 0.0000) [1 per cell]  4 Ta 3.06, 2 Cl 3.08, 6 Hg 3.08-3.13

polymorph energy (0 for the lowest one)	615	meV per atom
raw formation energy	475	meV/atom


Compound: CrIr2Pt
Source: the Alexandria database
Functional: PBE-GGA
Structure: relaxed

abc: 2.7527 4.6540 4.6709
angles: 90.00 90.00 90.00
Closest atoms and distances in Å follow each position.
Space group Pmmm (No. 47)
One atom of each set of equivalent atoms:
Cr (0.0000, 0.0000, 0.0000) [1 per cell]  4 Ir 2.70, 4 Pt 2.71, 2 Cr 2.75
Ir (0.0000, 0.5000, 0.5000) [1 per cell]  4 Pt 2.70, 6 Ir 2.71-2.75
Ir (0.5000, 0.5000, 0.0000) [1 per cell]  4 Cr 2.70, 6 Ir 2.71-2.75
Pt (0.5000, 0.0000, 0.5000) [1 per cell]  4 Ir 2.70, 4 Cr 2.71, 2 Pt 2.75

ΔH_f (0 K)	0.139	eV/atom


Compound: Cs2HfPd
Source: the Alexandria database
Functional: PBE-GGA
Structure: relaxed

abc: 13.7438 13.7438 4.9844
angles: 90.00 90.00 90.00
Closest atoms and distances in Å follow each position.
Space group I-42d (No. 122)
One atom of each set of equivalent atoms:
Cs (0.0840, 0.2500, 0.1250) [8 per cell]  2 Pd 3.68, 2 Hf 4.08
Hf (0.0000, 0.0000, 0.5000) [4 per cell]  2 Pd 2.49
Pd (0.0000, 0.0000, 0.0000) [4 per cell]  2 Hf 2.49

ΔH_f (0 K)	0.742	eV/atom
polymorph energy (0 for the lowest one)	0	meV per atom


Compound: TbHoZrIn
Source: the Alexandria database
Functional: PBE-GGA
Structure: relaxed

abc: 7.5488 7.5488 7.5488
angles: 90.00 90.00 90.00
Closest atoms and distances in Å follow each position.
Space group F-43m (No. 216)
One atom of each set of equivalent atoms:
Tb (0.0000, 0.0000, 0.0000) [4 per cell]  4 Zr 3.27, 4 In 3.27
Ho (0.0000, 0.0000, 0.5000) [4 per cell]  4 In 3.27, 4 Zr 3.27
Zr (0.2500, 0.2500, 0.2500) [4 per cell]  4 Ho 3.27, 4 Tb 3.27
In (0.2500, 0.2500, 0.7500) [4 per cell]  4 Tb 3.27, 4 Ho 3.27

ΔH_f (0 K)	-0.073	eV/atom


Compound: BaGaTeS4
Source: the Alexandria database
Functional: PBE-GGA
Structure: relaxed

abc: 6.8388 7.0259 8.6236
angles: 90.00 108.53 90.00
Closest atoms and distances in Å follow each position.
Space group P2_1/m (No. 11)
One atom of each set of equivalent atoms:
Ba (0.2437, 0.2500, 0.4359) [2 per cell]  6 S 3.18-3.26
Ga (0.3083, 0.7500, 0.1991) [2 per cell]  4 S 2.22-2.39
Te (0.2121, 0.2500, 0.9423) [2 per cell]  2 S 2.41-2.50
S (0.0535, 0.7500, 0.3344) [2 per cell]  1 Ga 2.39, 1 Te 2.50
S (0.0601, 0.7500, 0.9365) [2 per cell]  1 Ga 2.36, 1 Te 2.41
S (0.4994, 0.5111, 0.7457) [4 per cell]  1 Ga 2.22

raw formation energy	-760	meV/atom


Compound: TaZnIn2
Source: the Alexandria database
Functional: PBE-GGA
Structure: relaxed

abc: 10.2291 3.1835 5.0443
angles: 90.00 106.35 90.00
Closest atoms and distances in Å follow each position.
Space group C2/m (No. 12)
One atom of each set of equivalent atoms:
Ta (0.0000, 0.0000, 0.0000) [2 per cell]  4 Zn 2.98, 6 In 3.02-3.10, 2 Ta 3.18
Zn (0.0000, 0.5000, 0.5000) [2 per cell]  6 In 2.93-3.21, 4 Ta 2.98, 2 Zn 3.18
In (0.2445, 0.0000, 0.7502) [4 per cell]  3 Zn 2.93-3.21, 6 In 2.96-3.18, 3 Ta 3.02-3.10

ΔH_f (0 K)	0.290	eV/atom


Compound: NbBi2O5F
Source: the Alexandria database
Functional: PBE-GGA
Structure: relaxed

abc: 5.4994 17.0567 5.5163
angles: 90.00 90.00 90.00
Closest atoms and distances in Å follow each position.
Space group Pca2_1 (No. 29)
One atom of each set of equivalent atoms:
Nb (0.0117, 0.2495, 0.0000) [4 per cell]  5 O 1.89-2.11
Bi (0.0049, 0.5747, 0.0281) [4 per cell]  4 O 2.26-2.41, 1 F 2.52
Bi (0.0263, 0.0758, 0.5626) [4 per cell]  4 O 2.22-2.46
O (0.0877, 0.1418, 0.9686) [4 per cell]  1 Nb 1.89
O (0.2180, 0.2856, 0.6967) [4 per cell]  2 Nb 1.94-2.11
O (0.2269, 0.7546, 0.7515) [4 per cell]  2 Nb 1.91-2.08
O (0.2389, 0.9995, 0.2901) [4 per cell]  3 Bi 2.22-2.31
O (0.2485, 0.4956, 0.2633) [4 per cell]  4 Bi 2.26-2.41
F (0.0645, 0.6226, 0.4806) [4 per cell]  1 Nb 2.22

polymorph energy (0 for the lowest one)	0	meV per atom
raw formation energy	-1978	meV/atom


Compound: InCo2W
Source: the Alexandria database
Functional: PBE-GGA
Structure: relaxed

abc: 8.4143 2.8220 5.1232
angles: 90.00 99.21 90.00
Closest atoms and distances in Å follow each position.
Space group C2/m (No. 12)
One atom of each set of equivalent atoms:
In (0.0000, 0.0000, 0.0000) [2 per cell]  6 Co 2.76-2.81, 2 In 2.82, 4 W 2.92
Co (0.2451, 0.0000, 0.7003) [4 per cell]  2 Co 2.50, 3 W 2.52-2.57, 1 In 2.76
W (0.0000, 0.5000, 0.5000) [2 per cell]  6 Co 2.52-2.57, 2 W 2.82

ΔH_f (0 K)	0.333	eV/atom


- Number 2 is which compound?
  CrIr2Pt